First-principles (GGA-PBE) data for a relaxed structure of BaSnHS2, as listed in the Alexandria database. Values from VASP.

```
&SYSTEM
  ibrav = 0, nat = 5, ntyp = 4
/
ATOMIC_SPECIES
Ba 137.33 Ba.upf
S 32.06 S.upf
H 1.01 H.upf
Sn 118.71 Sn.upf
CELL_PARAMETERS angstrom
5.339 0.000 0.000
0.000 5.339 0.000
0.000 0.000 4.052
ATOMIC_POSITIONS crystal
Ba 0.500 0.500 0.500
S 0.500 0.000 0.000
S 0.000 0.500 0.000
H 0.000 0.000 0.500
Sn 0.000 0.000 0.000
```



First-principles (GGA-PBE) data for a relaxed structure of BaTaHS2, as listed in the Alexandria database. Values from VASP.

```
&SYSTEM
  ibrav = 0, nat = 5, ntyp = 4
/
ATOMIC_SPECIES
Ta 180.95 Ta.upf
S 32.06 S.upf
Ba 137.33 Ba.upf
H 1.01 H.upf
CELL_PARAMETERS angstrom
-2.884 -1.545 -3.673
-0.723 -4.256 2.358
-3.216 1.577 1.861
ATOMIC_POSITIONS crystal
Ta 0.000 0.000 0.000
S 0.000 0.500 0.000
S 0.500 0.000 0.000
Ba 0.500 0.500 0.500
H 0.000 0.000 0.500
```



First-principles (GGA-PBE) data for a relaxed structure of Ba2UHS5, as listed in the Alexandria database. Values from VASP.

```
&SYSTEM
  ibrav = 0, nat = 18, ntyp = 4
/
ATOMIC_SPECIES
H 1.01 H.upf
S 32.06 S.upf
Ba 137.33 Ba.upf
U 238.03 U.upf
CELL_PARAMETERS angstrom
-3.361 0.038 2.530
6.169 -4.891 4.772
4.199 10.583 5.419
ATOMIC_POSITIONS crystal
H 0.472 0.945 0.389
H 0.528 0.055 0.889
S 0.342 0.684 0.012
S 0.501 0.002 0.289
S 0.692 0.384 0.883
S 0.658 0.316 0.512
S 0.062 0.125 0.056
S 0.710 0.419 0.158
S 0.308 0.616 0.383
S 0.499 0.998 0.789
S 0.938 0.875 0.556
S 0.290 0.581 0.658
Ba 0.129 0.259 0.323
Ba 0.113 0.226 0.694
Ba 0.871 0.741 0.823
Ba 0.887 0.774 0.194
U 0.804 0.607 0.521
U 0.196 0.393 0.021
```



First-principles (GGA-PBE) data for a relaxed structure of BaH2WS, as listed in the Alexandria database. Values from VASP.

```
&SYSTEM
  ibrav = 0, nat = 5, ntyp = 4
/
ATOMIC_SPECIES
S 32.06 S.upf
H 1.01 H.upf
W 183.84 W.upf
Ba 137.33 Ba.upf
CELL_PARAMETERS angstrom
-1.537 -3.884 -0.285
5.909 -2.299 -0.531
0.221 -0.393 4.163
ATOMIC_POSITIONS crystal
S 0.000 0.000 0.000
H 0.500 0.000 0.000
H 0.000 0.000 0.500
W 0.500 0.500 0.500
Ba 0.000 0.500 0.000
```



First-principles (GGA-PBE) data for a relaxed structure of BaYH2S, as listed in the Alexandria database. Values from VASP.

```
&SYSTEM
  ibrav = 0, nat = 5, ntyp = 4
/
ATOMIC_SPECIES
H 1.01 H.upf
Ba 137.33 Ba.upf
Y 88.91 Y.upf
S 32.06 S.upf
CELL_PARAMETERS angstrom
4.451 0.000 0.000
0.000 4.451 0.000
0.000 0.000 5.366
ATOMIC_POSITIONS crystal
H 0.000 0.500 0.000
H 0.500 0.000 0.000
Ba 0.500 0.500 0.500
Y 0.000 0.000 0.000
S 0.000 0.000 0.500
```



First-principles (GGA-PBE) data for a relaxed structure of BaZrHS2, as listed in the Alexandria database. Values from VASP.

```
&SYSTEM
  ibrav = 0, nat = 5, ntyp = 4
/
ATOMIC_SPECIES
Zr 91.22 Zr.upf
S 32.06 S.upf
Ba 137.33 Ba.upf
H 1.01 H.upf
CELL_PARAMETERS angstrom
-3.384 1.112 3.669
2.789 -2.644 3.373
2.118 3.409 0.921
ATOMIC_POSITIONS crystal
Zr 0.000 0.000 0.000
S 0.500 0.000 0.000
S 0.000 0.500 0.000
Ba 0.500 0.500 0.500
H 0.000 0.000 0.500
```



First-principles (GGA-PBE) data for a relaxed structure of Ba6Sb3H, as listed in the Alexandria database. Values from VASP.

```
&SYSTEM
  ibrav = 0, nat = 20, ntyp = 3
/
ATOMIC_SPECIES
Sb 121.76 Sb.upf
Ba 137.33 Ba.upf
H 1.01 H.upf
CELL_PARAMETERS angstrom
8.126 0.000 0.000
0.000 10.747 0.018
0.000 -2.381 10.480
ATOMIC_POSITIONS crystal
Sb 0.970 0.067 0.283
Sb 0.470 0.933 0.717
Sb 0.470 0.283 0.067
Sb 0.419 0.384 0.616
Sb 0.919 0.616 0.384
Sb 0.970 0.717 0.933
Ba 0.197 0.357 0.319
Ba 0.180 0.108 0.577
Ba 0.157 0.044 0.956
Ba 0.680 0.892 0.423
Ba 0.697 0.643 0.681
Ba 0.657 0.956 0.044
Ba 0.680 0.577 0.108
Ba 0.180 0.423 0.892
Ba 0.697 0.319 0.357
Ba 0.685 0.218 0.782
Ba 0.197 0.681 0.643
Ba 0.185 0.782 0.218
H 0.031 0.194 0.806
H 0.531 0.806 0.194
```



! BaSb3H (GGA-PBE, optimized geometry); values from VASP
&SYSTEM
  ibrav = 0, nat = 5, ntyp = 3
/
ATOMIC_SPECIES
Sb 121.76 Sb.upf
Ba 137.33 Ba.upf
H 1.01 H.upf
CELL_PARAMETERS angstrom
-2.001 6.104 -0.188
-6.048 -1.953 0.953
0.848 0.474 6.353
ATOMIC_POSITIONS crystal
Sb 0.000 0.500 0.000
Sb 0.000 0.000 0.500
Sb 0.500 0.000 0.000
Ba 0.000 0.000 0.000
H 0.500 0.500 0.500
! Offset from the most stable computed form   32.53 kcal/mol of atoms



First-principles (GGA-PBE) data for a relaxed structure of Ba6SbH5, as listed in the Alexandria database. Values from VASP.

```
&SYSTEM
  ibrav = 0, nat = 12, ntyp = 3
/
ATOMIC_SPECIES
H 1.01 H.upf
Ba 137.33 Ba.upf
Sb 121.76 Sb.upf
CELL_PARAMETERS angstrom
7.523 0.281 0.000
2.382 7.259 0.000
1.191 3.630 6.458
ATOMIC_POSITIONS crystal
H 0.000 0.338 0.324
H 0.500 0.850 0.301
H 0.500 0.150 0.699
H 0.500 0.500 0.000
H 0.000 0.662 0.676
Ba 0.740 0.096 0.374
Ba 0.282 0.267 0.000
Ba 0.260 0.529 0.374
Ba 0.718 0.733 0.000
Ba 0.260 0.904 0.626
Ba 0.740 0.471 0.626
Sb 0.000 0.000 0.000
```



! Ba3Sb2H (GGA-PBE, optimized geometry); values from VASP
&SYSTEM
  ibrav = 0, nat = 12, ntyp = 3
/
ATOMIC_SPECIES
Ba 137.33 Ba.upf
Sb 121.76 Sb.upf
H 1.01 H.upf
CELL_PARAMETERS angstrom
-2.530 3.326 -2.296
-0.510 -4.173 -5.482
-12.404 -5.664 5.464
ATOMIC_POSITIONS crystal
Ba 0.000 0.999 0.344
Ba 0.000 0.001 0.656
Ba 0.500 0.500 0.500
Ba 0.500 0.499 0.156
Ba 0.000 0.000 0.000
Ba 0.500 0.501 0.844
Sb 0.500 0.999 0.169
Sb 0.500 0.001 0.831
Sb 0.000 0.501 0.669
Sb 0.000 0.499 0.331
H 0.500 0.000 0.500
H 0.000 0.500 0.000
! Offset from the most stable computed form   3.45 kcal/mol of atoms



! Ba3SbH (GGA-PBE, optimized geometry); values from VASP
&SYSTEM
  ibrav = 0, nat = 10, ntyp = 3
/
ATOMIC_SPECIES
H 1.01 H.upf
Sb 121.76 Sb.upf
Ba 137.33 Ba.upf
CELL_PARAMETERS angstrom
-1.846 -4.024 -1.731
3.529 -4.654 7.055
-5.949 -0.263 6.960
ATOMIC_POSITIONS crystal
H 0.364 0.194 0.746
H 0.363 0.694 0.246
Sb 0.863 0.194 0.246
Sb 0.363 0.694 0.746
Ba 0.363 0.023 0.075
Ba 0.863 0.625 0.056
Ba 0.863 0.763 0.437
Ba 0.863 0.004 0.678
Ba 0.363 0.366 0.418
Ba 0.863 0.384 0.815
! Offset from the most stable computed form   0.00 kcal/mol of atoms



First-principles (GGA-PBE) data for a relaxed structure of Ba5Sb2H2, as listed in the Alexandria database. Values from VASP.

```
&SYSTEM
  ibrav = 0, nat = 18, ntyp = 3
/
ATOMIC_SPECIES
Sb 121.76 Sb.upf
H 1.01 H.upf
Ba 137.33 Ba.upf
CELL_PARAMETERS angstrom
7.531 0.000 0.000
0.000 7.422 0.000
-3.765 -3.711 11.823
ATOMIC_POSITIONS crystal
Sb 0.891 0.370 0.792
Sb 0.598 0.078 0.208
Sb 0.109 0.578 0.208
Sb 0.402 0.870 0.792
H 0.000 0.971 0.000
H 0.872 0.833 0.500
H 0.128 0.333 0.500
H 0.500 0.471 0.000
Ba 0.177 0.121 0.300
Ba 0.755 0.226 0.008
Ba 0.823 0.821 0.700
Ba 0.378 0.321 0.700
Ba 0.207 0.696 0.500
Ba 0.247 0.719 0.992
Ba 0.793 0.196 0.500
Ba 0.245 0.219 0.992
Ba 0.753 0.726 0.008
Ba 0.622 0.621 0.300
```



Electronic total energy
In order: -0.1614; -0.2244; -0.2140; -0.1296; -0.1793; -0.2141; -0.1293; -0.0825; -0.1133; -0.1325; -0.1171; -0.1268
Unit: hartree per atom